## a
The following is a PBE-GGA calculation of crystalline PIrS2N at its relaxed geometry, from Alexandria.

Unit cell a=4.623 b=4.623 c=4.539 alpha=90.00 beta=90.00 gamma=90.00
Fractional coordinates of all 5 atoms:
S1 0.000 0.500 0.000
S2 0.500 0.000 0.000
N1 0.500 0.500 0.500
P1 0.000 0.000 0.500
Ir1 0.000 0.000 0.000



## b
The following is a PBE-GGA calculation of crystalline PIrS2N at its relaxed geometry, from Alexandria.

Unit cell a=4.819 b=4.819 c=3.643 alpha=90.00 beta=90.00 gamma=90.00
Fractional coordinates of all 5 atoms:
Ir1 0.000 0.000 0.000
S1 0.000 0.500 0.000
S2 0.500 0.000 0.000
N1 0.000 0.000 0.500
P1 0.500 0.500 0.500



Most stable pick: b. Distance to second place: 1022 meV/atom.



## a
The following is a PBE-GGA calculation of crystalline PIrS2N at its relaxed geometry, from Alexandria.

Unit cell a=4.034 b=4.034 c=3.968 alpha=90.00 beta=90.00 gamma=90.00
Fractional coordinates of all 5 atoms:
Ir1 0.500 0.500 0.500
S1 0.000 0.500 0.000
S2 0.500 0.000 0.000
P1 0.000 0.000 0.500
N1 0.000 0.000 0.000



## b
The following is a PBE-GGA calculation of crystalline PIrS2N at its relaxed geometry, from Alexandria.

Unit cell a=4.620 b=4.620 c=3.128 alpha=90.00 beta=90.00 gamma=90.00
Fractional coordinates of all 5 atoms:
N1 0.000 0.000 0.500
Ir1 0.500 0.500 0.500
S1 0.500 0.000 0.000
S2 0.000 0.500 0.000
P1 0.000 0.000 0.000



Most stable pick: b. Distance to second place: 359 meV/atom.



## a
The following is a PBE-GGA calculation of crystalline PIrSN2 at its relaxed geometry, from Alexandria.

Unit cell a=3.727 b=3.727 c=5.542 alpha=90.00 beta=90.00 gamma=90.00
Each line ends with the local moment (μB).
Fractional coordinates of all 5 atoms:
P1 0.500 0.500 0.500  0.39
S1 0.000 0.000 0.500  -0.02
N1 0.000 0.500 0.000  0.14
N2 0.500 0.000 0.000  0.14
Ir1 0.000 0.000 0.000  0.01



## b
The following is a PBE-GGA calculation of crystalline PIrSN2 at its relaxed geometry, from Alexandria.

Unit cell a=3.282 b=3.282 c=8.312 alpha=90.00 beta=90.00 gamma=90.00
Fractional coordinates of all 5 atoms:
N1 0.500 0.000 0.000
N2 0.000 0.500 0.000
Ir1 0.500 0.500 0.500
P1 0.000 0.000 0.000
S1 0.000 0.000 0.500



Most stable pick: b. Distance to second place: 168 meV/atom.